Zr5S2 after structural relaxation. Source: Alexandria via LeMat-Bulk, functional PBE.

The calculation puts the formation energy from raw total energies at -0.894 eV/atom. As for the symmetry: C2/c, No. 15. As for the magnetization: 0.00 Bohr magnetons per cell. For the total energy, the calculation gives -8.1786 eV/atom. The value obtained for the volume is 19.751 Å³/atom.

```
14
Lattice="6.1525 0.0000 0.0000 0.0000 6.4789 0.0265 -3.0762 -0.9758 6.9331" Properties=species:S:1:pos:R:3 pbc="T T T"
Zr 2.5361 2.9123 5.6294
Zr -0.5401 5.8302 1.3434
Zr 3.7822 1.4184 3.0121
Zr 0.7059 0.8452 3.9342
Zr 3.6200 1.6197 0.0066
Zr 3.6163 -0.3271 5.6162
Zr 2.3703 4.6578 3.0253
Zr -0.7059 4.0847 3.9475
Zr 2.5325 4.8592 0.0199
Zr 0.5401 2.5907 1.3302
S 1.8146 0.3560 1.4701
S -1.2616 1.9077 5.4763
S 4.3379 3.5954 1.4833
S 1.2616 5.1471 5.4895
```